(1)
Entry from Alexandria: an optimized crystal structure of BeH2O2 (GGA-PBE).

SG: P2_12_12_1 (19)
Energy in eV per atom: -5.78
ρ in g/cm3: 2.050
Size of the total moment in μB per cell: 0.0

Geometry as CIF:
```
data_BeH2O2
_chemical_formula_sum 'Be4 H8 O8'
_cell_length_a 4.8442
_cell_length_b 4.8457
_cell_length_c 5.9384
_cell_angle_alpha 90.00
_cell_angle_beta 90.00
_cell_angle_gamma 90.00
_space_group_name_H-M_alt 'P 1'
_space_group_IT_number 1
_space_group_name_Hall 'P 1'
loop_
_atom_site_label
_atom_site_type_symbol
_atom_site_fract_x
_atom_site_fract_y
_atom_site_fract_z
Be1 Be 0.5790 0.1718 0.8749
Be2 Be 0.0790 0.3282 0.1251
Be3 Be 0.9210 0.8282 0.3749
Be4 Be 0.4210 0.6718 0.6251
H1 H 0.5036 0.4166 0.1927
H2 H 0.0036 0.0834 0.8073
H3 H 0.9964 0.5834 0.6927
H4 H 0.4964 0.9166 0.3073
H5 H 0.6664 0.7471 0.9424
H6 H 0.1664 0.7529 0.0576
H7 H 0.8336 0.2529 0.4424
H8 H 0.3336 0.2471 0.5576
O1 O 0.4136 0.2734 0.1020
O2 O 0.9136 0.2266 0.8980
O3 O 0.0864 0.7266 0.6020
O4 O 0.5864 0.7734 0.3980
O5 O 0.5232 0.8373 0.8518
O6 O 0.0232 0.6627 0.1482
O7 O 0.9768 0.1627 0.3518
O8 O 0.4768 0.3373 0.6482
```

***

(2)
Entry from Alexandria: an optimized crystal structure of BeH3O (GGA-PBE).

SG: Pm-3m (221)
Energy in eV per atom: -2.80
ρ in g/cm3: 1.589
Size of the total moment in μB per cell: 0.9

Geometry as CIF:
```
data_BeH3O
_chemical_formula_sum 'Be1 H3 O1'
_cell_length_a 3.0826
_cell_length_b 3.0826
_cell_length_c 3.0826
_cell_angle_alpha 90.00
_cell_angle_beta 90.00
_cell_angle_gamma 90.00
_space_group_name_H-M_alt 'P 1'
_space_group_IT_number 1
_space_group_name_Hall 'P 1'
loop_
_atom_site_label
_atom_site_type_symbol
_atom_site_fract_x
_atom_site_fract_y
_atom_site_fract_z
Be1 Be 0.0000 0.0000 0.0000
O1 O 0.5000 0.5000 0.5000
H1 H 0.0000 0.5000 0.0000
H2 H 0.0000 0.0000 0.5000
H3 H 0.5000 0.0000 0.0000
```

***

(3)
Entry from Alexandria: an optimized crystal structure of BeH3O (GGA-PBE).

SG: Pm-3m (221)
Energy in eV per atom: -2.67
ρ in g/cm3: 1.469
Size of the total moment in μB per cell: 0.0

Geometry as CIF:
```
data_BeH3O
_chemical_formula_sum 'Be1 H3 O1'
_cell_length_a 3.1642
_cell_length_b 3.1642
_cell_length_c 3.1642
_cell_angle_alpha 90.00
_cell_angle_beta 90.00
_cell_angle_gamma 90.00
_space_group_name_H-M_alt 'P 1'
_space_group_IT_number 1
_space_group_name_Hall 'P 1'
loop_
_atom_site_label
_atom_site_type_symbol
_atom_site_fract_x
_atom_site_fract_y
_atom_site_fract_z
Be1 Be 0.5000 0.5000 0.5000
O1 O 0.0000 0.0000 0.0000
H1 H 0.0000 0.5000 0.0000
H2 H 0.0000 0.0000 0.5000
H3 H 0.5000 0.0000 0.0000
```

***

(4)
Entry from Alexandria: an optimized crystal structure of Be3HO (GGA-PBE).

SG: Pm-3m (221)
Energy in eV per atom: -3.79
ρ in g/cm3: 1.868
Size of the total moment in μB per cell: 0.0

Geometry as CIF:
```
data_Be3HO
_chemical_formula_sum 'Be3 H1 O1'
_cell_length_a 3.3958
_cell_length_b 3.3958
_cell_length_c 3.3958
_cell_angle_alpha 90.00
_cell_angle_beta 90.00
_cell_angle_gamma 90.00
_space_group_name_H-M_alt 'P 1'
_space_group_IT_number 1
_space_group_name_Hall 'P 1'
loop_
_atom_site_label
_atom_site_type_symbol
_atom_site_fract_x
_atom_site_fract_y
_atom_site_fract_z
Be1 Be 0.0000 0.5000 0.0000
Be2 Be 0.0000 0.0000 0.5000
Be3 Be 0.5000 0.0000 0.0000
O1 O 0.0000 0.0000 0.0000
H1 H 0.5000 0.5000 0.5000
```

***

(5)
Entry from Alexandria: an optimized crystal structure of BeH5O4 (GGA-PBE).

SG: Pmmn (59)
Energy in eV per atom: -5.03
ρ in g/cm3: 1.679
Size of the total moment in μB per cell: 2.0

Geometry as CIF:
```
data_BeH5O4
_chemical_formula_sum 'Be2 H10 O8'
_cell_length_a 3.9276
_cell_length_b 4.9821
_cell_length_c 7.8891
_cell_angle_alpha 90.00
_cell_angle_beta 90.00
_cell_angle_gamma 90.00
_space_group_name_H-M_alt 'P 1'
_space_group_IT_number 1
_space_group_name_Hall 'P 1'
loop_
_atom_site_label
_atom_site_type_symbol
_atom_site_fract_x
_atom_site_fract_y
_atom_site_fract_z
Be1 Be 0.6550 0.0000 0.0000
Be2 Be 0.3450 0.5000 0.5000
H1 H 0.1756 0.8245 0.8996
H2 H 0.1756 0.1755 0.8996
H3 H 0.4063 0.5000 0.0000
H4 H 0.1756 0.8245 0.1004
H5 H 0.1756 0.1755 0.1004
H6 H 0.8244 0.6755 0.3996
H7 H 0.8244 0.3245 0.3996
H8 H 0.5937 0.0000 0.5000
H9 H 0.8244 0.3245 0.6004
H10 H 0.8244 0.6755 0.6004
O1 O 0.9536 0.0000 0.8584
O2 O 0.3832 0.7430 0.0000
O3 O 0.3832 0.2570 0.0000
O4 O 0.9536 0.0000 0.1416
O5 O 0.0464 0.5000 0.3584
O6 O 0.6168 0.7570 0.5000
O7 O 0.6168 0.2430 0.5000
O8 O 0.0464 0.5000 0.6416
```

***

(6)
Entry from Alexandria: an optimized crystal structure of Be2H6O (GGA-PBE).

SG: Fm-3m (225)
Energy in eV per atom: -2.82
ρ in g/cm3: 1.533
Size of the total moment in μB per cell: 0.0

Geometry as CIF:
```
data_Be2H6O
_chemical_formula_sum 'Be2 H6 O1'
_cell_length_a 3.9451
_cell_length_b 3.9450
_cell_length_c 3.9441
_cell_angle_alpha 60.01
_cell_angle_beta 60.01
_cell_angle_gamma 59.98
_space_group_name_H-M_alt 'P 1'
_space_group_IT_number 1
_space_group_name_Hall 'P 1'
loop_
_atom_site_label
_atom_site_type_symbol
_atom_site_fract_x
_atom_site_fract_y
_atom_site_fract_z
Be1 Be 0.7500 0.7500 0.7500
Be2 Be 0.2500 0.2500 0.2500
H1 H 0.3281 0.6719 0.6719
H2 H 0.6717 0.6717 0.3283
H3 H 0.6719 0.3281 0.6719
H4 H 0.6719 0.3281 0.3281
H5 H 0.3283 0.3283 0.6717
H6 H 0.3281 0.6719 0.3281
O1 O 0.0000 0.0000 0.0000
```

***

(7)
Entry from Alexandria: an optimized crystal structure of BeH2O (GGA-PBE).

SG: I4_1/amd (141)
Energy in eV per atom: -4.66
ρ in g/cm3: 1.306
Size of the total moment in μB per cell: 0.0

Geometry as CIF:
```
data_BeH2O
_chemical_formula_sum 'Be2 H4 O2'
_cell_length_a 2.3273
_cell_length_b 2.3273
_cell_length_c 12.7982
_cell_angle_alpha 84.78
_cell_angle_beta 84.78
_cell_angle_gamma 90.00
_space_group_name_H-M_alt 'P 1'
_space_group_IT_number 1
_space_group_name_Hall 'P 1'
loop_
_atom_site_label
_atom_site_type_symbol
_atom_site_fract_x
_atom_site_fract_y
_atom_site_fract_z
Be1 Be 0.5000 0.5000 0.0000
Be2 Be 0.2500 0.7500 0.5000
O1 O 0.0000 0.0000 0.0000
O2 O 0.7500 0.2500 0.5000
H1 H 0.3750 0.1250 0.2500
H2 H 0.3750 0.6250 0.2500
H3 H 0.3750 0.6250 0.7500
H4 H 0.8750 0.6250 0.7500
```

***

(8)
Entry from Alexandria: an optimized crystal structure of BeH2O2 (GGA-PBE).

SG: P2_12_12_1 (19)
Energy in eV per atom: -5.81
ρ in g/cm3: 1.939
Size of the total moment in μB per cell: 0.0

Geometry as CIF:
```
data_BeH2O2
_chemical_formula_sum 'Be4 H8 O8'
_cell_length_a 4.5135
_cell_length_b 4.6555
_cell_length_c 7.0151
_cell_angle_alpha 90.00
_cell_angle_beta 90.00
_cell_angle_gamma 90.00
_space_group_name_H-M_alt 'P 1'
_space_group_IT_number 1
_space_group_name_Hall 'P 1'
loop_
_atom_site_label
_atom_site_type_symbol
_atom_site_fract_x
_atom_site_fract_y
_atom_site_fract_z
Be1 Be 0.0432 0.6915 0.6266
Be2 Be 0.4568 0.3085 0.1266
Be3 Be 0.9568 0.1915 0.8734
Be4 Be 0.5432 0.8085 0.3734
H1 H 0.2754 0.0895 0.5798
H2 H 0.2246 0.9105 0.0798
H3 H 0.7246 0.5895 0.9202
H4 H 0.7754 0.4105 0.4202
H5 H 0.3551 0.4089 0.7853
H6 H 0.1449 0.5911 0.2853
H7 H 0.6449 0.9089 0.7147
H8 H 0.8551 0.0911 0.2147
O1 O 0.1716 0.1140 0.0567
O2 O 0.3284 0.8860 0.5567
O3 O 0.8284 0.6140 0.4433
O4 O 0.6716 0.3860 0.9433
O5 O 0.1568 0.3932 0.7251
O6 O 0.3432 0.6068 0.2251
O7 O 0.8432 0.8932 0.7749
O8 O 0.6568 0.1068 0.2749
```

***

(9)
Entry from Alexandria: an optimized crystal structure of Be2HO (GGA-PBE).

SG: I-42d (122)
Energy in eV per atom: -4.77
ρ in g/cm3: 2.030
Size of the total moment in μB per cell: 0.0

Geometry as CIF:
```
data_Be2HO
_chemical_formula_sum 'Be4 H2 O2'
_cell_length_a 3.8146
_cell_length_b 3.8146
_cell_length_c 4.7737
_cell_angle_alpha 66.45
_cell_angle_beta 66.45
_cell_angle_gamma 90.00
_space_group_name_H-M_alt 'P 1'
_space_group_IT_number 1
_space_group_name_Hall 'P 1'
loop_
_atom_site_label
_atom_site_type_symbol
_atom_site_fract_x
_atom_site_fract_y
_atom_site_fract_z
Be1 Be 0.6383 0.1250 0.2500
Be2 Be 0.1117 0.6250 0.2500
Be3 Be 0.3750 0.3617 0.7500
Be4 Be 0.8750 0.8883 0.7500
O1 O 0.0000 0.0000 0.0000
O2 O 0.7500 0.2500 0.5000
H1 H 0.5000 0.5000 0.0000
H2 H 0.2500 0.7500 0.5000
```

***

(10)
Entry from Alexandria: an optimized crystal structure of BeH2O (GGA-PBE).

SG: Fm-3m (225)
Energy in eV per atom: -3.18
ρ in g/cm3: 2.064
Size of the total moment in μB per cell: 0.0

Geometry as CIF:
```
data_BeH2O
_chemical_formula_sum 'Be1 H2 O1'
_cell_length_a 3.1327
_cell_length_b 3.1327
_cell_length_c 3.1327
_cell_angle_alpha 60.00
_cell_angle_beta 60.00
_cell_angle_gamma 60.00
_space_group_name_H-M_alt 'P 1'
_space_group_IT_number 1
_space_group_name_Hall 'P 1'
loop_
_atom_site_label
_atom_site_type_symbol
_atom_site_fract_x
_atom_site_fract_y
_atom_site_fract_z
Be1 Be 0.0000 0.0000 0.0000
O1 O 0.5000 0.5000 0.5000
H1 H 0.2500 0.2500 0.2500
H2 H 0.7500 0.7500 0.7500
```

***

(11)
Entry from Alexandria: an optimized crystal structure of BeP2HO (GGA-PBE).

SG: P4/mmm (123)
Energy in eV per atom: -3.89
ρ in g/cm3: 2.814
Size of the total moment in μB per cell: 0.0

Geometry as CIF:
```
data_BeP2HO
_chemical_formula_sum 'Be1 P2 H1 O1'
_cell_length_a 3.3043
_cell_length_b 3.3043
_cell_length_c 4.7551
_cell_angle_alpha 90.00
_cell_angle_beta 90.00
_cell_angle_gamma 90.00
_space_group_name_H-M_alt 'P 1'
_space_group_IT_number 1
_space_group_name_Hall 'P 1'
loop_
_atom_site_label
_atom_site_type_symbol
_atom_site_fract_x
_atom_site_fract_y
_atom_site_fract_z
P1 P 0.0000 0.5000 0.0000
P2 P 0.5000 0.0000 0.0000
H1 H 0.0000 0.0000 0.0000
O1 O 0.0000 0.0000 0.5000
Be1 Be 0.5000 0.5000 0.5000
```

***

(12)
Entry from Alexandria: an optimized crystal structure of BePHO2 (GGA-PBE).

SG: P4/mmm (123)
Energy in eV per atom: -3.98
ρ in g/cm3: 2.844
Size of the total moment in μB per cell: 0.0

Geometry as CIF:
```
data_BePHO2
_chemical_formula_sum 'Be1 P1 H1 O2'
_cell_length_a 3.8904
_cell_length_b 3.8904
_cell_length_c 2.8158
_cell_angle_alpha 90.00
_cell_angle_beta 90.00
_cell_angle_gamma 90.00
_space_group_name_H-M_alt 'P 1'
_space_group_IT_number 1
_space_group_name_Hall 'P 1'
loop_
_atom_site_label
_atom_site_type_symbol
_atom_site_fract_x
_atom_site_fract_y
_atom_site_fract_z
P1 P 0.0000 0.0000 0.5000
H1 H 0.0000 0.0000 0.0000
O1 O 0.0000 0.5000 0.0000
O2 O 0.5000 0.0000 0.0000
Be1 Be 0.5000 0.5000 0.5000
```